The following is a PBE calculation of an optimized crystal structure of Cs3Ac3TcS8, from Alexandria via LeMat-Bulk.

a = 8.5459 Å, b = 8.5459 Å, c = 24.7294 Å
α = 90.00°, β = 90.00°, γ = 120.00°
Last column: nearest neighbours and their distance in Å.
Space group R-3m (No. 166, hexagonal axes)
Unique sites:
Cs: 0.0000 0.5000 0.0000 (multiplicity 9)  6 S 3.51-3.56
Ac: 0.0000 0.5000 0.5000 (multiplicity 9)  6 S 2.95-3.01
Tc: 0.0000 0.0000 0.5000 (multiplicity 3)  6 S 2.54
S: 0.0000 0.0000 0.2323 (multiplicity 6)  3 Ac 2.95
S: 0.0484 0.5242 0.2236 (multiplicity 18)  1 Tc 2.54

Results
Theoretical density   4.57 g/cm3
Total magnetization   3.00 μB per formula unit
E_form (uncorrected)   -1.47 eV per atom
Volume   34.8 A^3/atom

***

The following is a PBE calculation of an optimized crystal structure of Cs2AcTe2S6, from Alexandria via LeMat-Bulk.

a = 11.7000 Å, b = 7.7088 Å, c = 9.5593 Å
α = 90.00°, β = 111.23°, γ = 90.00°
Last column: nearest neighbours and their distance in Å.
Space group C2/m (No. 12)
Unique sites:
Cs: 0.1955 0.0000 0.1301 (multiplicity 4)  7 S 3.53-3.71
Ac: 0.0000 0.0000 0.5000 (multiplicity 2)  6 S 3.01-3.02
Te: 0.0783 0.5000 0.2426 (multiplicity 4)  3 S 2.35-2.49
S: 0.0384 0.2270 0.7696 (multiplicity 8)  1 Te 2.49
S: 0.2364 0.5000 0.4792 (multiplicity 4)  1 Te 2.35

Results
Theoretical density   3.89 g/cm3
Total magnetization   0.00 μB per formula unit
E_form (uncorrected)   -0.78 eV per atom
Volume   36.5 A^3/atom

***

The following is a PBE calculation of an optimized crystal structure of Cs3Ac2ThS6, from Alexandria via LeMat-Bulk.

a = 7.5973 Å, b = 13.1551 Å, c = 8.4965 Å
α = 90.00°, β = 107.36°, γ = 90.00°
Last column: nearest neighbours and their distance in Å.
Space group C2/m (No. 12)
Unique sites:
Cs: 0.0000 0.0000 0.0000 (multiplicity 2)  6 S 3.52-3.67
Cs: 0.0000 0.3311 0.0000 (multiplicity 4)  6 S 3.53-3.65
Ac: 0.0000 0.1665 0.5000 (multiplicity 4)  6 S 3.02-3.03
Th: 0.0000 0.5000 0.5000 (multiplicity 2)  6 S 2.85
S: 0.2210 0.3425 0.6898 (multiplicity 8)  1 Th 2.85, 2 Ac 3.02-3.03
S: 0.2487 0.0000 0.6906 (multiplicity 4)  1 Th 2.85, 2 Ac 3.03

Results
Theoretical density   5.23 g/cm3
Total magnetization   0.00 μB per formula unit
E_form (uncorrected)   -1.79 eV per atom
Volume   33.8 A^3/atom

***

The following is a PBE calculation of an optimized crystal structure of Cs4Ac3ThS8, from Alexandria via LeMat-Bulk.

a = 8.8222 Å, b = 8.8222 Å, c = 24.3353 Å
α = 90.00°, β = 90.00°, γ = 120.00°
Last column: nearest neighbours and their distance in Å.
Space group R-3m (No. 166, hexagonal axes)
Unique sites:
Cs: 0.0000 0.0000 0.0000 (multiplicity 3)  6 S 3.69
Cs: 0.0000 0.5000 0.0000 (multiplicity 9)  6 S 3.54-3.55
Ac: 0.0000 0.5000 0.5000 (multiplicity 9)  6 S 3.00-3.03
Th: 0.0000 0.0000 0.5000 (multiplicity 3)  6 S 2.85
S: 0.0000 0.0000 0.2317 (multiplicity 6)  3 Ac 3.00
S: 0.0180 0.5090 0.2295 (multiplicity 18)  1 Th 2.85, 2 Ac 3.03

Results
Theoretical density   5.17 g/cm3
Total magnetization   0.00 μB per formula unit
E_form (uncorrected)   -1.81 eV per atom
Volume   34.2 A^3/atom

***

The following is a PBE calculation of an optimized crystal structure of Cs4Ac3TiS8, from Alexandria via LeMat-Bulk.

a = 8.6293 Å, b = 8.6293 Å, c = 24.3016 Å
α = 90.00°, β = 90.00°, γ = 120.00°
Last column: nearest neighbours and their distance in Å.
Space group R-3m (No. 166, hexagonal axes)
Unique sites:
Cs: 0.0000 0.0000 0.0000 (multiplicity 3)  6 S 3.78
Cs: 0.0000 0.5000 0.0000 (multiplicity 9)  6 S 3.48-3.51
Ac: 0.0000 0.5000 0.5000 (multiplicity 9)  6 S 2.97-3.01
Ti: 0.0000 0.0000 0.5000 (multiplicity 3)  6 S 2.67
S: 0.0000 0.0000 0.2331 (multiplicity 6)  3 Ac 2.97
S: 0.0344 0.5172 0.2267 (multiplicity 18)  1 Ti 2.67

Results
Theoretical density   4.82 g/cm3
Total magnetization   1.00 μB per formula unit
E_form (uncorrected)   -1.64 eV per atom
Volume   32.6 A^3/atom

***

The following is a PBE calculation of an optimized crystal structure of Cs2AcTiS4, from Alexandria via LeMat-Bulk.

a = 7.8035 Å, b = 7.8035 Å, c = 9.6819 Å
α = 90.00°, β = 90.00°, γ = 90.00°
Last column: nearest neighbours and their distance in Å.
Space group I-4 (No. 82)
Unique sites:
Cs: 0.0000 0.0000 0.0000 (multiplicity 2)  4 S 3.58
Cs: 0.0000 0.5000 0.2500 (multiplicity 2)  4 S 3.48
Ac: 0.0000 0.5000 0.7500 (multiplicity 2)  4 S 2.84
Ti: 0.0000 0.0000 0.5000 (multiplicity 2)  4 S 2.37
S: 0.1575 0.2241 0.6062 (multiplicity 8)  1 Ti 2.37

Results
Theoretical density   3.77 g/cm3
Total magnetization   1.00 μB per formula unit
E_form (uncorrected)   -1.41 eV per atom
Volume   36.8 A^3/atom

***

The following is a PBE calculation of an optimized crystal structure of Cs2Ac2TiS6, from Alexandria via LeMat-Bulk.

a = 7.3078 Å, b = 12.3899 Å, c = 8.5535 Å
α = 90.00°, β = 106.40°, γ = 90.00°
Last column: nearest neighbours and their distance in Å.
Space group C2/m (No. 12)
Unique sites:
Cs: 0.0000 0.1697 0.0000 (multiplicity 4)  6 S 3.49-3.78
Ac: 0.0000 0.3341 0.5000 (multiplicity 4)  6 S 2.96-2.99
Ti: 0.0000 0.0000 0.5000 (multiplicity 2)  6 S 2.50-2.53
S: 0.2027 0.1441 0.6762 (multiplicity 8)  1 Ti 2.53
S: 0.2212 0.0000 0.3241 (multiplicity 4)  1 Ti 2.50

Results
Theoretical density   4.29 g/cm3
Total magnetization   0.00 μB per formula unit
E_form (uncorrected)   -1.64 eV per atom
Volume   33.8 A^3/atom

***

The following is a PBE calculation of an optimized crystal structure of Cs2AcTlS4, from Alexandria via LeMat-Bulk.

a = 12.3908 Å, b = 13.1101 Å, c = 9.0962 Å
α = 90.00°, β = 132.31°, γ = 90.00°
Last column: nearest neighbours and their distance in Å.
Space group C2/c (No. 15)
Unique sites:
Cs: 0.0000 0.0000 0.0000 (multiplicity 4)  4 S 3.30-3.49
Cs: 0.2500 0.2500 0.0000 (multiplicity 4)  6 S 3.43-3.70
Ac: 0.0000 0.5000 0.0000 (multiplicity 4)  6 S 2.94-3.17
Tl: 0.2500 0.2500 0.5000 (multiplicity 4)  2 S 2.50
S: 0.0475 0.2624 0.4979 (multiplicity 8)  1 Tl 2.50
S: 0.2088 0.4890 0.4461 (multiplicity 8)  2 Ac 2.94-3.01, 1 Tl 3.16

Results
Theoretical density   5.02 g/cm3
Total magnetization   0.00 μB per formula unit
E_form (uncorrected)   -1.10 eV per atom
Volume   34.1 A^3/atom

***

The following is a PBE calculation of an optimized crystal structure of Cs3Ac2TmS6, from Alexandria via LeMat-Bulk.

a = 7.5287 Å, b = 13.0390 Å, c = 8.4831 Å
α = 90.00°, β = 107.21°, γ = 90.00°
Last column: nearest neighbours and their distance in Å.
Space group C2/m (No. 12)
Unique sites:
Cs: 0.0000 0.0000 0.0000 (multiplicity 2)  6 S 3.51-3.69
Cs: 0.0000 0.3323 0.0000 (multiplicity 4)  6 S 3.52-3.68
Ac: 0.0000 0.1666 0.5000 (multiplicity 4)  6 S 3.01
Tm: 0.0000 0.5000 0.5000 (multiplicity 2)  6 S 2.79
S: 0.2178 0.3445 0.6866 (multiplicity 8)  1 Tm 2.79, 2 Ac 3.01
S: 0.2485 0.5000 0.3126 (multiplicity 4)  1 Tm 2.79, 2 Ac 3.01

Results
Theoretical density   5.07 g/cm3
Total magnetization   0.00 μB per formula unit
E_form (uncorrected)   -1.84 eV per atom
Volume   33.1 A^3/atom

***

The following is a PBE calculation of an optimized crystal structure of Cs3AcTm2S6, from Alexandria via LeMat-Bulk.

a = 7.2755 Å, b = 12.5987 Å, c = 8.4397 Å
α = 90.00°, β = 106.72°, γ = 90.00°
Last column: nearest neighbours and their distance in Å.
Space group C2/m (No. 12)
Unique sites:
Cs: 0.0000 0.0000 0.0000 (multiplicity 2)  6 S 3.42-3.59
Cs: 0.0000 0.3359 0.0000 (multiplicity 4)  6 S 3.43-3.59
Ac: 0.0000 0.5000 0.5000 (multiplicity 2)  6 S 2.98-2.99
Tm: 0.0000 0.1667 0.5000 (multiplicity 4)  6 S 2.77
S: 0.2046 0.0000 0.6820 (multiplicity 4)  2 Tm 2.77, 1 Ac 2.98
S: 0.2393 0.3219 0.6832 (multiplicity 8)  2 Tm 2.77, 1 Ac 2.99

Results
Theoretical density   5.18 g/cm3
Total magnetization   0.00 μB per formula unit
E_form (uncorrected)   -1.83 eV per atom
Volume   30.9 A^3/atom

***

The following is a PBE calculation of an optimized crystal structure of Cs4Ac3US8, from Alexandria via LeMat-Bulk.

a = 8.8206 Å, b = 8.8206 Å, c = 24.3409 Å
α = 90.00°, β = 90.00°, γ = 120.00°
Last column: nearest neighbours and their distance in Å.
Space group R-3m (No. 166, hexagonal axes)
Unique sites:
Cs: 0.0000 0.0000 0.0000 (multiplicity 3)  6 S 3.69
Cs: 0.0000 0.5000 0.0000 (multiplicity 9)  6 S 3.55
Ac: 0.0000 0.5000 0.5000 (multiplicity 9)  6 S 3.00-3.02
U: 0.0000 0.0000 0.5000 (multiplicity 3)  6 S 2.86
S: 0.0000 0.0000 0.2317 (multiplicity 6)  3 Ac 3.00
S: 0.0166 0.5083 0.2290 (multiplicity 18)  1 U 2.86, 2 Ac 3.02

Results
Theoretical density   5.19 g/cm3
Total magnetization   3.00 μB per formula unit
E_form (uncorrected)   -1.71 eV per atom
Volume   34.2 A^3/atom

***

The following is a PBE calculation of an optimized crystal structure of Cs2AcUS4, from Alexandria via LeMat-Bulk.

a = 7.4990 Å, b = 4.3041 Å, c = 8.4865 Å
α = 90.00°, β = 107.00°, γ = 90.00°
Last column: nearest neighbours and their distance in Å.
Space group P2/m (No. 10)
Unique sites:
Cs: 0.0000 0.0000 0.0000 (multiplicity 1)  6 S 3.63
Cs: 0.5000 0.5000 0.0000 (multiplicity 1)  6 S 3.49-3.50
Ac: 0.0000 0.5000 0.5000 (multiplicity 1)  6 S 2.99-3.01
U: 0.5000 0.0000 0.5000 (multiplicity 1)  6 S 2.82-2.85
S: 0.2481 0.0000 0.6906 (multiplicity 2)  1 U 2.82, 2 Ac 2.99
S: 0.2892 0.5000 0.3174 (multiplicity 2)  2 U 2.85, 1 Ac 3.01

Results
Theoretical density   5.45 g/cm3
Total magnetization   3.00 μB per formula unit
E_form (uncorrected)   -1.57 eV per atom
Volume   32.7 A^3/atom

***

The following is a PBE calculation of an optimized crystal structure of CsAc2US5, from Alexandria via LeMat-Bulk.

a = 5.1414 Å, b = 7.5901 Å, c = 14.5156 Å
α = 90.00°, β = 90.00°, γ = 90.00°
Last column: nearest neighbours and their distance in Å.
Space group Immm (No. 71)
Unique sites:
Cs: 0.0000 0.0000 0.0000 (multiplicity 2)  10 S 3.80-3.93
Ac: 0.0000 0.5000 0.2063 (multiplicity 4)  7 S 2.94-3.22
U: 0.0000 0.0000 0.5000 (multiplicity 2)  6 S 2.57-2.77
S: 0.0000 0.2294 0.3515 (multiplicity 8)  1 U 2.77, 1 Ac 2.94
S: 0.0000 0.5000 0.0000 (multiplicity 2)  2 U 2.57

Results
Theoretical density   5.78 g/cm3
Total magnetization   2.91 μB per formula unit
E_form (uncorrected)   -1.77 eV per atom
Volume   31.5 A^3/atom

***

The following is a PBE calculation of an optimized crystal structure of Cs2AcU2S7, from Alexandria via LeMat-Bulk.

a = 5.2162 Å, b = 5.2162 Å, c = 27.8296 Å
α = 90.00°, β = 90.00°, γ = 90.00°
Last column: nearest neighbours and their distance in Å.
Space group I4/mmm (No. 139)
Unique sites:
Cs: 0.0000 0.0000 0.1876 (multiplicity 4)  5 S 3.62-3.69
Ac: 0.0000 0.0000 0.0000 (multiplicity 2)  12 S 3.32-3.69
U: 0.0000 0.0000 0.4076 (multiplicity 4)  6 S 2.50-2.66
S: 0.0000 0.0000 0.3176 (multiplicity 4)  1 U 2.50
S: 0.0000 0.0000 0.5000 (multiplicity 2)  2 U 2.57
S: 0.0000 0.5000 0.0736 (multiplicity 8)  2 U 2.66

Results
Theoretical density   5.23 g/cm3
Total magnetization   3.00 μB per formula unit
E_form (uncorrected)   -1.50 eV per atom
Volume   31.6 A^3/atom

***

The following is a PBE calculation of an optimized crystal structure of Cs3AcU2S9, from Alexandria via LeMat-Bulk.

a = 7.6027 Å, b = 7.6027 Å, c = 9.3803 Å
α = 90.00°, β = 90.00°, γ = 120.00°
Last column: nearest neighbours and their distance in Å.
Space group P-3m1 (No. 164)
Unique sites:
Cs: 0.0000 0.0000 0.0000 (multiplicity 1)  12 S 3.75-3.80
Cs: 0.3333 0.6667 0.6658 (multiplicity 2)  12 S 3.81-3.90
Ac: 0.0000 0.0000 0.5000 (multiplicity 1)  6 S 2.94
U: 0.3333 0.6667 0.1567 (multiplicity 2)  6 S 2.51-2.64
S: 0.0000 0.5000 0.0000 (multiplicity 3)  2 U 2.64
S: 0.1784 0.3569 0.3118 (multiplicity 6)  1 U 2.51

Results
Theoretical density   4.92 g/cm3
Total magnetization   0.00 μB per formula unit
E_form (uncorrected)   -1.41 eV per atom
Volume   31.3 A^3/atom

***

The following is a PBE calculation of an optimized crystal structure of Cs3Ac3VS8, from Alexandria via LeMat-Bulk.

a = 8.5154 Å, b = 8.5154 Å, c = 24.7058 Å
α = 90.00°, β = 90.00°, γ = 120.00°
Last column: nearest neighbours and their distance in Å.
Space group R-3m (No. 166, hexagonal axes)
Unique sites:
Cs: 0.0000 0.5000 0.0000 (multiplicity 9)  6 S 3.50-3.56
Ac: 0.0000 0.5000 0.5000 (multiplicity 9)  6 S 2.95-3.01
V: 0.0000 0.0000 0.5000 (multiplicity 3)  6 S 2.51
S: 0.0000 0.0000 0.2327 (multiplicity 6)  3 Ac 2.95
S: 0.0503 0.5251 0.2231 (multiplicity 18)  1 V 2.51

Results
Theoretical density   4.45 g/cm3
Total magnetization   1.00 μB per formula unit
E_form (uncorrected)   -1.55 eV per atom
Volume   34.5 A^3/atom

***

The following is a PBE calculation of an optimized crystal structure of Cs3AcV2S8, from Alexandria via LeMat-Bulk.

a = 7.5558 Å, b = 7.5558 Å, c = 9.8044 Å
α = 90.00°, β = 90.00°, γ = 120.00°
Last column: nearest neighbours and their distance in Å.
Space group P-3m1 (No. 164)
Unique sites:
Cs: 0.0000 0.0000 0.0000 (multiplicity 1)  6 S 3.86
Cs: 0.3333 0.6667 0.6676 (multiplicity 2)  7 S 3.55-3.78
Ac: 0.0000 0.0000 0.5000 (multiplicity 1)  6 S 2.93
V: 0.3333 0.6667 0.2416 (multiplicity 2)  4 S 2.08-2.18
S: 0.1760 0.3520 0.3160 (multiplicity 6)  1 V 2.18
S: 0.3333 0.6667 0.0293 (multiplicity 2)  1 V 2.08

Results
Theoretical density   3.37 g/cm3
Total magnetization   0.00 μB per formula unit
E_form (uncorrected)   -1.25 eV per atom
Volume   34.6 A^3/atom

***

The following is a PBE calculation of an optimized crystal structure of Cs2AcVS4, from Alexandria via LeMat-Bulk.

a = 7.7190 Å, b = 7.7190 Å, c = 9.9244 Å
α = 90.00°, β = 90.00°, γ = 90.00°
Last column: nearest neighbours and their distance in Å.
Space group I-4 (No. 82)
Unique sites:
Cs: 0.0000 0.0000 0.0000 (multiplicity 2)  4 S 3.45
Cs: 0.0000 0.5000 0.2500 (multiplicity 2)  4 S 3.65
Ac: 0.0000 0.0000 0.5000 (multiplicity 2)  4 S 2.84
V: 0.0000 0.5000 0.7500 (multiplicity 2)  4 S 2.32
S: 0.1510 0.7156 0.6381 (multiplicity 8)  1 V 2.32

Results
Theoretical density   3.77 g/cm3
Total magnetization   2.00 μB per formula unit
E_form (uncorrected)   -1.26 eV per atom
Volume   37.0 A^3/atom

***

The following is a PBE calculation of an optimized crystal structure of Cs3Ac3WS8, from Alexandria via LeMat-Bulk.

a = 8.5280 Å, b = 8.5280 Å, c = 24.7659 Å
α = 90.00°, β = 90.00°, γ = 120.00°
Last column: nearest neighbours and their distance in Å.
Space group R-3m (No. 166, hexagonal axes)
Unique sites:
Cs: 0.0000 0.5000 0.0000 (multiplicity 9)  6 S 3.51-3.56
Ac: 0.0000 0.5000 0.5000 (multiplicity 9)  6 S 2.95-3.01
W: 0.0000 0.0000 0.5000 (multiplicity 3)  6 S 2.54
S: 0.0000 0.0000 0.2326 (multiplicity 6)  3 Ac 2.95
S: 0.0484 0.5242 0.2238 (multiplicity 18)  1 W 2.54

Results
Theoretical density   4.85 g/cm3
Total magnetization   2.00 μB per formula unit
E_form (uncorrected)   -1.48 eV per atom
Volume   34.7 A^3/atom

***

The following is a PBE calculation of an optimized crystal structure of Cs2Ac2ZrS6, from Alexandria via LeMat-Bulk.

a = 7.4060 Å, b = 12.6041 Å, c = 8.5904 Å
α = 90.00°, β = 106.48°, γ = 90.00°
Last column: nearest neighbours and their distance in Å.
Space group C2/m (No. 12)
Unique sites:
Cs: 0.0000 0.1690 0.0000 (multiplicity 4)  6 S 3.52-3.75
Ac: 0.0000 0.3344 0.5000 (multiplicity 4)  6 S 2.97-2.99
Zr: 0.0000 0.0000 0.5000 (multiplicity 2)  6 S 2.62-2.64
S: 0.2083 0.1498 0.6792 (multiplicity 8)  1 Zr 2.64
S: 0.2323 0.0000 0.3201 (multiplicity 4)  1 Zr 2.62

Results
Theoretical density   4.33 g/cm3
Total magnetization   0.00 μB per formula unit
E_form (uncorrected)   -1.77 eV per atom
Volume   35.0 A^3/atom